{
  "formula": "Y2RuPb",
  "functional": "SCAN",
  "state": "PBEsol geometry",
  "space_group": "P4/mmm",
  "dos_at_fermi_per_ev_atom": 0.3145,
  "delta_e_f_mev_per_atom": -617,
  "mass_density_g_cm3": 8.66,
  "lattice_angstrom": [[3.3685, 0.0000, 0.0000], [0.0000, 3.3685, 0.0000], [0.0000, 0.0000, 8.2130]],
  "species": ["Pb", "Ru", "Y", "Y"],
  "frac_coords": [[0.5000, 0.5000, 0.0000], [0.5000, 0.5000, 0.5000], [0.0000, 0.0000, 0.6998], [0.0000, 0.0000, 0.3002]]
}



{
  "formula": "NaSrTi2Tc",
  "functional": "SCAN",
  "state": "PBEsol geometry",
  "space_group": "P4/mmm",
  "dos_at_fermi_per_ev_atom": 1.1087,
  "delta_e_f_mev_per_atom": 2191,
  "mass_density_g_cm3": 4.53,
  "lattice_angstrom": [[-1.0513, -2.8081, 3.6492], [-1.8704, -3.2785, -3.0617], [4.3534, -2.1266, -0.3823]],
  "species": ["Sr", "Na", "Tc", "Ti", "Ti"],
  "frac_coords": [[0.0000, 0.0000, 0.0000], [0.5000, 0.5000, 0.5000], [0.5000, 0.0000, 0.0000], [0.0000, 0.0000, 0.5000], [0.0000, 0.5000, 0.0000]]
}



{
  "formula": "Re2PSe",
  "functional": "SCAN",
  "state": "PBEsol geometry",
  "space_group": "R3m",
  "dos_at_fermi_per_ev_atom": 0.6281,
  "relative_energy_mev_per_atom": 0,
  "mass_density_g_cm3": 11.68,
  "lattice_angstrom": [[2.9190, 0.0000, 0.0000], [1.4595, 2.5279, 0.0000], [1.4595, 0.8426, 9.2954]],
  "species": ["P", "Re", "Re", "Se"],
  "frac_coords": [[0.2723, 0.2723, 0.1832], [0.0005, 0.0005, 0.9984], [0.7474, 0.7474, 0.7577], [0.4798, 0.4798, 0.5607]]
}



{
  "formula": "MnIn2AuS",
  "functional": "SCAN",
  "state": "PBEsol geometry",
  "space_group": "P4/mmm",
  "dos_at_fermi_per_ev_atom": 0.3737,
  "mass_density_g_cm3": 6.56,
  "lattice_angstrom": [[-2.2597, 2.6732, -3.5131], [-2.3771, -4.2152, -1.6784], [-3.8907, 0.9192, 3.2020]],
  "species": ["S", "Mn", "Au", "In", "In"],
  "frac_coords": [[0.5000, 0.5000, 0.5000], [0.5000, 0.0000, 0.0000], [0.0000, 0.0000, 0.0000], [0.0000, 0.0000, 0.5000], [0.0000, 0.5000, 0.0000]]
}



{
  "formula": "Li3VF6",
  "functional": "SCAN",
  "state": "PBEsol geometry",
  "space_group": "C2/m",
  "dos_at_fermi_per_ev_atom": 0.0964,
  "relative_energy_mev_per_atom": 29,
  "mass_density_g_cm3": 3.00,
  "lattice_angstrom": [[-3.5573, -3.9098, 0.6577], [3.2815, 1.9926, 8.0252], [-6.6172, 6.1857, 0.9815]],
  "species": ["Li", "Li", "Li", "Li", "Li", "Li", "Li", "Li", "Li", "Li", "Li", "Li", "V", "V", "V", "V", "F", "F", "F", "F", "F", "F", "F", "F", "F", "F", "F", "F", "F", "F", "F", "F", "F", "F", "F", "F", "F", "F", "F", "F"],
  "frac_coords": [[0.8338, 0.1672, 0.9149], [0.3334, 0.1672, 0.4149], [0.4174, 0.3344, 0.8289], [0.8566, 0.2131, 0.6010], [0.9171, 0.3345, 0.3289], [0.3565, 0.2131, 0.1010], [0.6435, 0.7869, 0.8990], [0.0829, 0.6656, 0.6711], [0.1434, 0.7869, 0.3990], [0.5826, 0.6656, 0.1711], [0.6666, 0.8328, 0.5851], [0.1662, 0.8328, 0.0851], [0.5000, 0.5000, 0.5000], [0.0000, 0.5000, 0.0000], [0.2501, 0.0000, 0.7500], [0.7499, 0.0000, 0.2500], [0.2581, 0.0164, 0.9646], [0.0791, 0.1640, 0.7492], [0.5851, 0.1640, 0.7492], [0.7582, 0.0164, 0.4646], [0.0849, 0.1640, 0.2493], [0.5789, 0.1640, 0.2493], [0.6659, 0.3303, 0.9901], [0.6644, 0.3304, 0.4901], [0.1658, 0.3305, 0.4901], [0.1647, 0.3304, 0.9901], [0.9999, 0.4998, 0.7948], [0.5001, 0.5002, 0.7051], [0.4999, 0.4998, 0.2949], [0.0001, 0.5002, 0.2052], [0.8353, 0.6696, 0.0099], [0.8342, 0.6695, 0.5099], [0.3356, 0.6696, 0.5099], [0.3341, 0.6697, 0.0099], [0.4211, 0.8360, 0.7507], [0.9151, 0.8360, 0.7507], [0.2418, 0.9836, 0.5354], [0.4149, 0.8360, 0.2508], [0.9209, 0.8360, 0.2508], [0.7419, 0.9836, 0.0354]]
}



{
  "formula": "ZrGaCu",
  "functional": "SCAN",
  "state": "PBEsol geometry",
  "space_group": "P6_3/mmc",
  "dos_at_fermi_per_ev_atom": 0.7547,
  "delta_e_f_mev_per_atom": -555,
  "mass_density_g_cm3": 7.73,
  "lattice_angstrom": [[-3.4531, -0.5901, -2.2892], [0.4420, -1.9694, 3.6659], [-2.7989, 4.8861, 2.9623]],
  "species": ["Cu", "Cu", "Ga", "Ga", "Zr", "Zr"],
  "frac_coords": [[0.3333, 0.6667, 0.2500], [0.6667, 0.3333, 0.7500], [0.3333, 0.6667, 0.7500], [0.6667, 0.3333, 0.2500], [0.0000, 0.0000, 0.5000], [0.0000, 0.0000, 0.0000]]
}



{
  "formula": "NbRe3Bi",
  "functional": "SCAN",
  "state": "PBEsol geometry",
  "space_group": "Pm-3m",
  "dos_at_fermi_per_ev_atom": 0.6042,
  "delta_e_f_mev_per_atom": 3188,
  "mass_density_g_cm3": 12.86,
  "lattice_angstrom": [[-1.5409, -1.5416, 4.2848], [4.3283, 0.9097, 1.8838], [-1.4150, 4.4616, 1.0964]],
  "species": ["Re", "Re", "Re", "Nb", "Bi"],
  "frac_coords": [[0.0000, 0.5000, 0.0000], [0.0000, 0.0000, 0.5000], [0.5000, 0.0000, 0.0000], [0.5000, 0.5000, 0.5000], [0.0000, 0.0000, 0.0000]]
}



{
  "formula": "Ta2CrPb",
  "functional": "SCAN",
  "state": "PBEsol geometry",
  "space_group": "P4/mmm",
  "dos_at_fermi_per_ev_atom": 0.6772,
  "delta_e_f_mev_per_atom": 380,
  "mass_density_g_cm3": 14.80,
  "lattice_angstrom": [[3.3450, 0.0000, 0.0000], [0.0000, 3.3450, 0.0000], [0.0000, 0.0000, 6.2293]],
  "species": ["Cr", "Pb", "Ta", "Ta"],
  "frac_coords": [[0.5000, 0.5000, 0.0000], [0.5000, 0.5000, 0.5000], [0.0000, 0.0000, 0.7876], [0.0000, 0.0000, 0.2124]]
}



{
  "formula": "CrInW2",
  "functional": "SCAN",
  "state": "PBEsol geometry",
  "space_group": "Cmm2",
  "dos_at_fermi_per_ev_atom": 0.5842,
  "delta_e_f_mev_per_atom": 386,
  "mass_density_g_cm3": 14.07,
  "lattice_angstrom": [[-1.3163, 2.4329, -0.0013], [-0.3991, -1.3158, -2.4003], [-7.1663, -3.8756, 3.3162]],
  "species": ["Cr", "In", "W", "W"],
  "frac_coords": [[0.0000, 0.0000, 0.5151], [0.5000, 0.5000, 0.2623], [0.0000, 0.0000, 0.9855], [0.5000, 0.5000, 0.7370]]
}



{
  "formula": "YBr2",
  "functional": "SCAN",
  "state": "PBEsol geometry",
  "space_group": "Cm",
  "dos_at_fermi_per_ev_atom": 0.4083,
  "mass_density_g_cm3": 5.01,
  "lattice_angstrom": [[3.7629, 0.0000, 0.0000], [1.8814, 6.8448, -0.0392], [1.8814, 2.7034, 6.3897]],
  "species": ["Y", "Y", "Br", "Br", "Br", "Br"],
  "frac_coords": [[0.0748, 0.3523, 0.4981], [0.7229, 0.5634, 0.9909], [0.0400, 0.7523, 0.1676], [0.6418, 0.0238, 0.6926], [0.3068, 0.2255, 0.1610], [0.3804, 0.5827, 0.6566]]
}



{
  "formula": "YCd2Ru",
  "functional": "SCAN",
  "state": "PBEsol geometry",
  "space_group": "I-4m2",
  "dos_at_fermi_per_ev_atom": 0.5020,
  "delta_e_f_mev_per_atom": -74,
  "mass_density_g_cm3": 8.93,
  "lattice_angstrom": [[-2.3229, 3.1716, -1.7725], [0.2822, -1.9399, -3.8411], [-2.4639, -2.7175, 3.6122]],
  "species": ["Cd", "Cd", "Ru", "Y"],
  "frac_coords": [[0.0000, 0.0000, 0.0000], [0.7500, 0.2500, 0.5000], [0.5000, 0.5000, 0.0000], [0.2500, 0.7500, 0.5000]]
}



{
  "formula": "LiZnCdCu2",
  "functional": "SCAN",
  "state": "PBEsol geometry",
  "space_group": "P4/mmm",
  "dos_at_fermi_per_ev_atom": 0.3644,
  "delta_e_f_mev_per_atom": 395,
  "mass_density_g_cm3": 6.02,
  "lattice_angstrom": [[-2.9574, 1.0902, -2.9903], [0.5126, -3.9654, -1.9526], [-3.2192, -1.6819, 2.5706]],
  "species": ["Zn", "Li", "Cu", "Cu", "Cd"],
  "frac_coords": [[0.0000, 0.0000, 0.0000], [0.5000, 0.0000, 0.0000], [0.0000, 0.0000, 0.5000], [0.0000, 0.5000, 0.0000], [0.5000, 0.5000, 0.5000]]
}



Number 1: E_tot -42.19 eV per atom. Number 2: E_tot -16.53 eV per atom. Number 3: E_tot -43.04 eV per atom. Number 4: E_tot -32.71 eV per atom. Number 5: E_tot -7.76 eV per atom. Number 6: E_tot -21.30 eV per atom. Number 7: E_tot -61.81 eV per atom. Number 8: E_tot -56.45 eV per atom. Number 9: E_tot -47.40 eV per atom. Number 10: E_tot -24.07 eV per atom. Number 11: E_tot -30.95 eV per atom. Number 12: E_tot -14.95 eV per atom.